# 1
This record from Alexandria via LeMat-Bulk describes Ca8HgAu2 after structural relaxation. The functional is PBE.

a = 5.941 Å, b = 8.236 Å, c = 8.236 Å
α = 111.41°, β = 98.73°, γ = 98.73°
Fractional coordinates of all 11 atoms:
Ca1 0.579 0.332 0.072
Ca2 0.579 0.072 0.332
Ca3 0.183 0.375 0.375
Ca4 0.991 0.236 0.768
Ca5 0.991 0.768 0.236
Ca6 0.802 0.632 0.632
Ca7 0.398 0.934 0.673
Ca8 0.398 0.673 0.934
Hg1 0.090 0.003 0.003
Au1 0.494 0.690 0.318
Au2 0.494 0.318 0.690

Properties
Its formation energy is -0.410 eV/atom. The raw total energy is -27.38 eV for the cell shown. For the spin magnetization, the calculation gives 0.00 μB per formula unit. Its space group is Cm (8).

***

# 2
This record from Alexandria via LeMat-Bulk describes TbTcNiGe2 after structural relaxation. The functional is PBE.

a = 4.102 Å, b = 4.102 Å, c = 5.943 Å
α = 110.19°, β = 110.19°, γ = 90.00°
Fractional coordinates of all 5 atoms:
Tb1 0.000 0.000 0.000
Tc1 0.250 0.750 0.500
Ni1 0.750 0.250 0.500
Ge1 0.624 0.624 0.249
Ge2 0.376 0.376 0.751

Properties
Its formation energy is -0.551 eV/atom. The raw total energy is -32.77 eV for the cell shown. For the spin magnetization, the calculation gives 0.00 μB per formula unit. Its space group is I-4m2 (119).

***

# 3
This record from Alexandria via LeMat-Bulk describes ReP2Br after structural relaxation. The functional is PBE.

a = 4.666 Å, b = 4.666 Å, c = 4.666 Å
α = 127.50°, β = 127.50°, γ = 77.43°
Fractional coordinates of all 4 atoms:
Br1 0.750 0.250 0.500
P1 0.000 0.000 0.000
P2 0.500 0.500 0.000
Re1 0.250 0.750 0.500

Properties
The calculation puts the relative energy among the computed polymorphs at 943 meV/atom. The raw total energy is -21.05 eV for the cell shown. For the spin magnetization, the calculation gives 0.00 μB per formula unit. Its space group is I4/mmm (139).

***

# 4
This record from Alexandria via LeMat-Bulk describes TmTh4P6 after structural relaxation. The functional is PBE.

a = 8.030 Å, b = 8.030 Å, c = 8.030 Å
α = 90.36°, β = 90.36°, γ = 89.64°
Fractional coordinates of all 22 atoms:
Tm1 0.500 0.500 0.500
Tm2 0.000 0.000 0.000
Th1 0.370 0.130 0.250
Th2 0.870 0.250 0.370
Th3 0.250 0.630 0.130
Th4 0.250 0.250 0.750
Th5 0.750 0.750 0.250
Th6 0.750 0.370 0.870
Th7 0.130 0.750 0.630
Th8 0.630 0.870 0.750
P1 0.682 0.064 0.084
P2 0.084 0.318 0.064
P3 0.584 0.436 0.182
P4 0.936 0.084 0.682
P5 0.564 0.182 0.584
P6 0.182 0.416 0.436
P7 0.818 0.584 0.564
P8 0.436 0.818 0.416
P9 0.064 0.916 0.318
P10 0.416 0.564 0.818
P11 0.916 0.682 0.936
P12 0.318 0.936 0.916

Properties
Its formation energy is -1.334 eV/atom. The raw total energy is -162.56 eV for the cell shown. For the spin magnetization, the calculation gives 0.00 μB per formula unit. Its space group is R-3c (167).

***

spin magnetization of number 3 (ReP2Br)? 0.00 μB per formula unit

***

Which formula does entry 4 have? TmTh4P6